Below is a relaxed structure of Tb6Ho4Mg, with properties calculated at the PBE level.

The structure in CIF format:
```
data_Tb6Ho4Mg
_cell_length_a 9.665
_cell_length_b 9.665
_cell_length_c 9.665
_cell_angle_alpha 140.90
_cell_angle_beta 140.90
_cell_angle_gamma 56.49
_symmetry_space_group_name_H-M 'P 1'
_symmetry_Int_Tables_number 1
loop_
_symmetry_equiv_pos_as_xyz
'x,y,z'
loop_
_atom_site_label
_atom_site_fract_x
_atom_site_fract_y
_atom_site_fract_z
_atom_site_occupancy
Tb1 0.000 0.500 0.500 1
Tb2 0.012 0.645 0.000 1
Tb3 0.355 0.355 0.367 1
Tb4 0.500 0.000 0.500 1
Tb5 0.645 0.012 0.000 1
Tb6 0.988 0.988 0.633 1
Ho1 0.192 0.192 0.650 1
Ho2 0.458 0.808 0.000 1
Ho3 0.542 0.542 0.350 1
Ho4 0.808 0.458 0.000 1
Mg1 0.000 0.000 0.000 1
```

Calculated values
**Formation energy**: 0.281 eV/atom
**DFT total energy**: -4.0537 eV/atom
**Fermi-level density of states**: 13.46 states/eV/f.u.